Entry 1:
VASP calculation (PBE) on a geometry-optimized Pu3TlHg2Cl12 structure.

Calculated values
Raw formation energy   -1.436 eV/atom

Cell lengths 9.197, 9.197, 9.197 Å; angles 68.65, 68.65, 68.65 degrees
Fractional positions:
Pu1 0.500 0.000 0.000
Pu2 0.000 0.500 0.000
Pu3 0.000 0.000 0.500
Tl1 0.000 0.000 0.000
Hg1 0.579 0.579 0.579
Hg2 0.421 0.421 0.421
Cl1 0.273 0.273 0.904
Cl2 0.862 0.862 0.416
Cl3 0.416 0.862 0.862
Cl4 0.904 0.273 0.273
Cl5 0.862 0.416 0.862
Cl6 0.273 0.904 0.273
Cl7 0.727 0.727 0.096
Cl8 0.138 0.138 0.584
Cl9 0.584 0.138 0.138
Cl10 0.096 0.727 0.727
Cl11 0.138 0.584 0.138
Cl12 0.727 0.096 0.727

---

Entry 2:
VASP calculation (PBE) on a geometry-optimized PuTl2HgCl6 structure.

Calculated values
Raw formation energy   -1.267 eV/atom

Cell lengths 8.552, 8.552, 8.552 Å; angles 55.17, 55.17, 55.17 degrees
Fractional positions:
Pu1 0.014 0.014 0.014
Tl1 0.205 0.205 0.205
Tl2 0.676 0.676 0.676
Hg1 0.506 0.506 0.506
Cl1 0.366 0.052 0.841
Cl2 0.052 0.841 0.366
Cl3 0.966 0.210 0.664
Cl4 0.664 0.966 0.210
Cl5 0.841 0.366 0.052
Cl6 0.210 0.664 0.966

---

Entry 3:
VASP calculation (PBE) on a geometry-optimized Rb6HgCl8 structure.

Calculated values
Raw formation energy   -1.650 eV/atom

Cell lengths 8.512, 8.512, 8.512 Å; angles 69.26, 69.26, 69.26 degrees
Fractional positions:
Rb1 0.059 0.481 0.699
Rb2 0.301 0.941 0.519
Rb3 0.519 0.301 0.941
Rb4 0.481 0.699 0.059
Rb5 0.699 0.059 0.481
Rb6 0.941 0.519 0.301
Hg1 0.000 0.000 0.000
Cl1 0.157 0.690 0.906
Cl2 0.094 0.843 0.310
Cl3 0.310 0.094 0.843
Cl4 0.657 0.657 0.657
Cl5 0.343 0.343 0.343
Cl6 0.690 0.906 0.157
Cl7 0.906 0.157 0.690
Cl8 0.843 0.310 0.094

---

Entry 4:
VASP calculation (PBE) on a geometry-optimized Rb2HgCl5 structure.

Calculated values
Raw formation energy   -1.143 eV/atom

Cell lengths 7.070, 7.076, 7.087 Å; angles 113.77, 113.74, 101.35 degrees
Fractional positions:
Rb1 0.737 0.235 0.502
Rb2 0.234 0.736 0.501
Hg1 0.022 0.022 0.000
Cl1 0.208 0.749 0.000
Cl2 0.746 0.746 0.541
Cl3 0.209 0.209 0.459
Cl4 0.748 0.207 0.000
Cl5 0.318 0.319 0.997

---

Entry 5:
VASP calculation (PBE) on a geometry-optimized Rb3HgCl6 structure.

Calculated values
Raw formation energy   -1.282 eV/atom

Cell lengths 9.138, 9.138, 9.138 Å; angles 91.47, 91.47, 91.47 degrees
Fractional positions:
Rb1 0.430 0.923 0.750
Rb2 0.923 0.750 0.430
Rb3 0.250 0.570 0.077
Rb4 0.750 0.430 0.923
Rb5 0.077 0.250 0.570
Rb6 0.570 0.077 0.250
Hg1 0.000 0.000 0.000
Hg2 0.500 0.500 0.500
Cl1 0.273 0.938 0.075
Cl2 0.062 0.925 0.727
Cl3 0.565 0.779 0.452
Cl4 0.925 0.727 0.062
Cl5 0.452 0.565 0.779
Cl6 0.221 0.548 0.435
Cl7 0.779 0.452 0.565
Cl8 0.548 0.435 0.221
Cl9 0.075 0.273 0.938
Cl10 0.435 0.221 0.548
Cl11 0.938 0.075 0.273
Cl12 0.727 0.062 0.925

---

Entry 6:
VASP calculation (PBE) on a geometry-optimized Rb2Hg2Cl structure.

Calculated values
Raw formation energy   -0.647 eV/atom

Cell lengths 9.208, 9.208, 4.944 Å; angles 90.00, 90.00, 90.00 degrees
Fractional positions:
Hg1 0.385 0.885 0.000
Hg2 0.885 0.615 0.000
Hg3 0.615 0.115 0.000
Hg4 0.115 0.385 0.000
Rb1 0.190 0.690 0.500
Rb2 0.690 0.810 0.500
Rb3 0.810 0.310 0.500
Rb4 0.310 0.190 0.500
Cl1 0.000 0.000 0.000
Cl2 0.500 0.500 0.000